DFT (PBE-GGA) results for an optimized crystal structure of CaNd2SnC.

- calculated volume (Å³ per cell) = 130.5
- energy of formation from the pure elements (kcal/mol of atoms) = -10.06

a b c (Å): 5.1072 5.1072 5.0033
angles (deg): 90.00 90.00 90.00
With the nearest neighbours (Å) after each atom.
Fractional positions:
1 Ca 0.0000 0.0000 0.0000  2 C 2.50
2 Nd 0.0000 0.5000 0.5000  2 C 2.55
3 Nd 0.5000 0.0000 0.5000  2 C 2.55
4 Sn 0.5000 0.5000 0.0000  8 Nd 3.57, 4 Ca 3.61
5 C 0.0000 0.0000 0.5000  2 Ca 2.50, 4 Nd 2.55


DFT (PBE-GGA) results for an optimized crystal structure of ScGaS2N.

- calculated volume (Å³ per cell) = 85.4
- ΔE_f (raw) (meV per atom) = -97
- energy above the lowest structure with this stoichiometry (meV/atom) = 0

a b c (Å): 4.8058 4.8058 3.6992
angles (deg): 90.00 90.00 90.00
With the nearest neighbours (Å) after each atom.
Fractional positions:
1 Sc 0.0000 0.0000 0.0000  8 S 3.03
2 Ga 0.5000 0.5000 0.5000  2 N 1.85
3 S 0.0000 0.5000 0.5000  2 Ga 2.40
4 S 0.5000 0.0000 0.5000  2 Ga 2.40
5 N 0.5000 0.5000 0.0000  2 Ga 1.85


Repeat the first record exactly.
DFT (PBE-GGA) results for an optimized crystal structure of CaNd2SnC.

- calculated volume (Å³ per cell) = 130.5
- energy of formation from the pure elements (kcal/mol of atoms) = -10.06

a b c (Å): 5.1072 5.1072 5.0033
angles (deg): 90.00 90.00 90.00
With the nearest neighbours (Å) after each atom.
Fractional positions:
1 Ca 0.0000 0.0000 0.0000  2 C 2.50
2 Nd 0.0000 0.5000 0.5000  2 C 2.55
3 Nd 0.5000 0.0000 0.5000  2 C 2.55
4 Sn 0.5000 0.5000 0.0000  8 Nd 3.57, 4 Ca 3.61
5 C 0.0000 0.0000 0.5000  2 Ca 2.50, 4 Nd 2.55


Question: What is the formula in the second record?
Answer: ScGaS2N